# 1
Below is a relaxed structure of SrMg2Cd2, with properties calculated at the GGA-PBEsol level.

a = 4.8922 Å, b = 4.8922 Å, c = 11.3920 Å
α = 90.00°, β = 90.00°, γ = 90.00°
Space group I4/mmm (No. 139)
Symmetry-distinct sites (fractional):
Sr 0.0000 0.0000 0.0000 x2
Mg 0.0000 0.0000 0.3740 x4
Cd 0.0000 0.5000 0.2500 x4

Output
Its spin magnetization is 0.000 μB/atom. The value obtained for the formation enthalpy at 0 K is -0.1181 eV per atom. For the energy, the calculation gives -1.65 eV/atom.

=====

# 2
Below is a relaxed structure of Ti3In, with properties calculated at the GGA-PBEsol level.

a = 4.1012 Å, b = 4.1012 Å, c = 4.1012 Å
α = 90.00°, β = 90.00°, γ = 90.00°
Space group Pm-3m (No. 221)
Symmetry-distinct sites (fractional):
Ti 0.0000 0.0000 0.5000 x3
In 0.5000 0.5000 0.5000 x1

Output
Its spin magnetization is 0.000 μB/atom. The value obtained for the formation enthalpy at 0 K is -0.1580 eV per atom. For the energy, the calculation gives -7.15 eV/atom.